--- i ---
## SrTc3Ge (GGA-PBE)

Data for SrTc3Ge after structural relaxation.

Cell: 4.888 4.888 4.888 Å, 90.00 90.00 90.00°
Fractional positions:
Tc 0.000 0.000 0.500
Tc 0.500 0.000 0.000
Ge 0.500 0.500 0.500
Sr 0.000 0.000 0.000
Tc 0.000 0.500 0.000

Values from the calculation:
* V: 117 Å³/f.u.

--- ii ---
## SrTc3Ge (GGA-PBE)

Data for SrTc3Ge after structural relaxation.

Cell: 4.738 4.738 4.738 Å, 90.00 90.00 90.00°
Fractional positions:
Tc 0.500 0.000 0.000
Tc 0.000 0.000 0.500
Tc 0.000 0.500 0.000
Sr 0.500 0.500 0.500
Ge 0.000 0.000 0.000

Values from the calculation:
* V: 106 Å³/f.u.

It is i that is the least stable of them.

--- i ---
## SrTcGe2 (GGA-PBE)

Data for SrTcGe2 after structural relaxation.

Cell: 4.773 4.773 4.773 Å, 60.00 60.00 60.00°
Fractional positions:
Ge 0.250 0.250 0.250
Sr 0.000 0.000 0.000
Ge 0.750 0.750 0.750
Tc 0.500 0.500 0.500

Values from the calculation:
* V: 77 Å³/f.u.

--- ii ---
## SrTcGe2 (GGA-PBE)

Data for SrTcGe2 after structural relaxation.

Cell: 4.248 4.248 6.151 Å, 69.80 69.80 60.00°
Fractional positions:
Tc 0.000 0.000 0.000
Sr 0.500 0.500 0.500
Ge 0.288 0.288 0.136
Ge 0.712 0.712 0.864

Values from the calculation:
* V: 88 Å³/f.u.

--- iii ---
## SrTcGe2 (GGA-PBE)

Data for SrTcGe2 after structural relaxation.

Cell: 5.359 5.359 8.692 Å, 72.04 72.04 90.00°
Fractional positions:
Sr 0.250 0.750 0.500
Tc 0.750 0.250 0.500
Ge 0.875 0.125 0.750
Sr 0.500 0.500 0.000
Tc 0.000 0.000 0.000
Ge 0.375 0.125 0.750
Ge 0.875 0.625 0.250
Ge 0.875 0.125 0.250

Values from the calculation:
* V: 112 Å³/f.u.

It is i that is the least stable of them.

--- i ---
## SrTc2Ge2 (GGA-PBE)

Data for SrTc2Ge2 after structural relaxation.

Cell: 4.211 4.294 11.603 Å, 100.66 100.45 90.00°
Fractional positions:
Ge 0.720 0.970 0.440
Ge 0.280 0.030 0.560
Tc 0.533 0.283 0.066
Tc 0.032 0.782 0.064
Tc 0.467 0.717 0.934
Sr 0.842 0.592 0.683
Tc 0.968 0.218 0.936
Ge 0.600 0.850 0.200
Sr 0.158 0.408 0.317
Ge 0.400 0.150 0.800

Values from the calculation:
* V: 101 Å³/f.u.

--- ii ---
## SrTc2Ge2 (GGA-PBE)

Data for SrTc2Ge2 after structural relaxation.

Cell: 4.173 4.173 6.368 Å, 70.88 70.88 90.00°
Fractional positions:
Tc 0.750 0.250 0.500
Ge 0.376 0.376 0.248
Ge 0.624 0.624 0.752
Tc 0.250 0.750 0.500
Sr 0.000 0.000 0.000

Values from the calculation:
* V: 98 Å³/f.u.

It is ii that is the least stable of them.

--- i ---
## SrTi2Ge2 (GGA-PBE)

Data for SrTi2Ge2 after structural relaxation.

Cell: 8.113 8.113 2.927 Å, 90.00 90.00 90.00°
Fractional positions:
Ge 0.828 0.328 0.500
Sr 0.500 0.500 0.000
Ti 0.117 0.383 0.000
Ti 0.383 0.883 0.000
Ti 0.883 0.617 0.000
Ge 0.672 0.828 0.500
Ge 0.328 0.172 0.500
Ge 0.172 0.672 0.500
Sr 0.000 0.000 0.000
Ti 0.617 0.117 0.000

Values from the calculation:
* V: 96 Å³/f.u.

--- ii ---
## SrTi2Ge2 (GGA-PBE)

Data for SrTi2Ge2 after structural relaxation.

Cell: 4.304 4.304 6.696 Å, 71.25 71.25 90.00°
Fractional positions:
Sr 0.000 0.000 0.000
Ge 0.625 0.625 0.749
Ti 0.750 0.250 0.500
Ge 0.375 0.375 0.251
Ti 0.250 0.750 0.500

Values from the calculation:
* V: 111 Å³/f.u.

It is i that is the least stable of them.

--- i ---
## SrTl2Ge (GGA-PBE)

Data for SrTl2Ge after structural relaxation.

Cell: 5.481 5.481 5.481 Å, 60.00 60.00 60.00°
Fractional positions:
Tl 0.250 0.250 0.250
Tl 0.750 0.750 0.750
Ge 0.000 0.000 0.000
Sr 0.500 0.500 0.500

Values from the calculation:
* V: 116 Å³/f.u.

--- ii ---
## SrTl2Ge (GGA-PBE)

Data for SrTl2Ge after structural relaxation.

Cell: 4.395 4.395 9.904 Å, 77.18 77.18 60.00°
Fractional positions:
Tl 0.882 0.882 0.354
Sr 0.000 0.000 0.000
Tl 0.118 0.118 0.646
Ge 0.500 0.500 0.500

Values from the calculation:
* V: 160 Å³/f.u.

--- iii ---
## SrTl2Ge (GGA-PBE)

Data for SrTl2Ge after structural relaxation.

Cell: 5.050 4.727 4.727 Å, 90.00 90.00 90.00°
Fractional positions:
Tl 0.000 0.000 0.500
Ge 0.500 0.000 0.000
Tl 0.000 0.500 0.000
Sr 0.500 0.500 0.500

Values from the calculation:
* V: 113 Å³/f.u.

It is ii that is the least stable of them.

--- i ---
## SrTlGe (GGA-PBE)

Data for SrTlGe after structural relaxation.

Cell: 4.791 4.653 4.653 Å, 120.00 90.00 90.00°
Fractional positions:
Tl 0.251 0.333 0.667
Sr 0.681 0.667 0.333
Ge 0.068 0.000 0.000

Values from the calculation:
* V: 90 Å³/f.u.

--- ii ---
## SrTlGe (GGA-PBE)

Data for SrTlGe after structural relaxation.

Cell: 5.156 5.156 5.156 Å, 60.00 60.00 60.00°
Fractional positions:
Tl 0.500 0.500 0.500
Ge 0.250 0.250 0.250
Sr 0.000 0.000 0.000

Values from the calculation:
* V: 97 Å³/f.u.

It is ii that is the least stable of them.

--- i ---
## SrTlGe (GGA-PBE)

Data for SrTlGe after structural relaxation.

Cell: 4.622 6.822 6.412 Å, 72.00 68.88 70.20°
Fractional positions:
Sr 0.568 0.683 0.181
Tl 0.177 0.916 0.731
Ge 0.138 0.342 0.383
Tl 0.823 0.084 0.269
Ge 0.862 0.658 0.617
Sr 0.432 0.317 0.819

Values from the calculation:
* V: 87 Å³/f.u.

--- ii ---
## SrTlGe (GGA-PBE)

Data for SrTlGe after structural relaxation.

Cell: 4.195 4.746 9.286 Å, 104.80 90.00 90.00°
Fractional positions:
Sr 0.250 0.906 0.812
Ge 0.750 0.457 0.913
Ge 0.250 0.543 0.087
Sr 0.750 0.094 0.188
Tl 0.250 0.712 0.424
Tl 0.750 0.288 0.576

Values from the calculation:
* V: 89 Å³/f.u.

It is i that is the least stable of them.

--- i ---
## SrTl3Ge (GGA-PBE)

Data for SrTl3Ge after structural relaxation.

Cell: 6.098 6.098 6.098 Å, 90.00 90.00 90.00°
Fractional positions:
Ge 0.500 0.500 0.500
Tl 0.000 0.500 0.000
Tl 0.500 0.000 0.000
Sr 0.000 0.000 0.000
Tl 0.000 0.000 0.500

Values from the calculation:
* V: 227 Å³/f.u.

--- ii ---
## SrTl3Ge (GGA-PBE)

Data for SrTl3Ge after structural relaxation.

Cell: 5.603 5.603 5.603 Å, 90.00 90.00 90.00°
Fractional positions:
Tl 0.000 0.500 0.000
Sr 0.500 0.500 0.500
Ge 0.000 0.000 0.000
Tl 0.000 0.000 0.500
Tl 0.500 0.000 0.000

Values from the calculation:
* V: 176 Å³/f.u.

It is i that is the least stable of them.